# 1
Computed, not measured: a PBEsol-optimized structure of Ta2Os at the meta-GGA SCAN level of DFT.

formation energy from the elements = -0.009 eV/atom

Unit cell a=4.340 b=4.340 c=4.340 alpha=60.00 beta=60.00 gamma=60.00
Atoms (fractional coordinates):
Os 0.000 0.000 0.000
Ta 0.750 0.750 0.750
Ta 0.250 0.250 0.250



# 2
Computed, not measured: a PBEsol-optimized structure of TaTcOs at the meta-GGA SCAN level of DFT.

formation energy from the elements = -0.117 eV/atom

Unit cell a=3.137 b=3.137 c=5.168 alpha=107.67 beta=107.67 gamma=90.00
Atoms (fractional coordinates):
Tc 0.325 0.325 0.651
Os 0.006 0.006 0.013
Ta 0.668 0.668 0.337



# 3
Computed, not measured: a PBEsol-optimized structure of Ta4TcOs at the meta-GGA SCAN level of DFT.

formation energy from the elements = 0.435 eV/atom

Unit cell a=5.241 b=5.241 c=5.241 alpha=60.00 beta=60.00 gamma=60.00
Atoms (fractional coordinates):
Ta 0.875 0.375 0.375
Ta 0.375 0.375 0.875
Ta 0.375 0.875 0.375
Ta 0.375 0.375 0.375
Tc 0.750 0.750 0.750
Os 0.000 0.000 0.000



# 4
Computed, not measured: a PBEsol-optimized structure of TaTcOs2 at the meta-GGA SCAN level of DFT.

distance to the lowest polymorph of the same formula = 0.66 eV per formula unit
formation energy from the elements = 0.048 eV/atom

Unit cell a=3.113 b=4.395 c=5.152 alpha=115.25 beta=107.59 gamma=90.00
Atoms (fractional coordinates):
Ta 0.497 0.497 0.994
Os 0.004 0.004 0.008
Os 0.234 0.734 0.469
Tc 0.764 0.264 0.529



# 5
Computed, not measured: a PBEsol-optimized structure of TaTcOs2 at the meta-GGA SCAN level of DFT.

distance to the lowest polymorph of the same formula = 0.00 eV per formula unit
formation energy from the elements = -0.118 eV/atom

Unit cell a=3.901 b=3.901 c=4.774 alpha=114.11 beta=114.11 gamma=90.00
Atoms (fractional coordinates):
Os 0.250 0.750 0.500
Os 0.750 0.250 0.500
Ta 0.500 0.500 0.000
Tc 0.000 0.000 0.000



# 6
Computed, not measured: a PBEsol-optimized structure of Ta2TcOsW at the meta-GGA SCAN level of DFT.

formation energy from the elements = 2.032 eV/atom

Unit cell a=4.466 b=4.741 c=4.741 alpha=90.00 beta=90.00 gamma=90.00
Atoms (fractional coordinates):
Tc 0.500 0.000 0.000
Ta 0.000 0.500 0.000
Ta 0.000 0.000 0.500
Os 0.500 0.500 0.500
W 0.000 0.000 0.000



# 7
Computed, not measured: a PBEsol-optimized structure of TaTeOs at the meta-GGA SCAN level of DFT.

E_form (uncorrected) = 0.000 eV/atom

Unit cell a=4.386 b=4.386 c=4.386 alpha=60.00 beta=60.00 gamma=60.00
Atoms (fractional coordinates):
Os 0.250 0.250 0.250
Ta 0.000 0.000 0.000
Te 0.500 0.500 0.500



# 8
Computed, not measured: a PBEsol-optimized structure of Ta4TeOs at the meta-GGA SCAN level of DFT.

E_form (uncorrected) = 0.546 eV/atom

Unit cell a=5.368 b=5.368 c=5.368 alpha=60.00 beta=60.00 gamma=60.00
Atoms (fractional coordinates):
Ta 0.875 0.375 0.375
Ta 0.375 0.375 0.875
Ta 0.375 0.875 0.375
Ta 0.375 0.375 0.375
Os 0.000 0.000 0.000
Te 0.750 0.750 0.750



# 9
Computed, not measured: a PBEsol-optimized structure of TaTeOs2 at the meta-GGA SCAN level of DFT.

E_form (uncorrected) = 0.446 eV/atom

Unit cell a=3.112 b=4.576 c=5.371 alpha=115.21 beta=106.84 gamma=90.00
Atoms (fractional coordinates):
Os 0.746 0.246 0.493
Os 0.984 0.984 0.968
Te 0.259 0.759 0.517
Ta 0.511 0.511 0.023



# 10
Computed, not measured: a PBEsol-optimized structure of TaTiOs2 at the meta-GGA SCAN level of DFT.

formation energy from the elements = -0.666 eV/atom

Unit cell a=4.398 b=4.398 c=4.398 alpha=60.00 beta=60.00 gamma=60.00
Atoms (fractional coordinates):
Ta 0.500 0.500 0.500
Os 0.750 0.750 0.750
Os 0.250 0.250 0.250
Ti 0.000 0.000 0.000



# 11
Computed, not measured: a PBEsol-optimized structure of Ta3TiOs at the meta-GGA SCAN level of DFT.

formation energy from the elements = 1.748 eV/atom

Unit cell a=4.518 b=4.518 c=4.518 alpha=90.00 beta=90.00 gamma=90.00
Atoms (fractional coordinates):
Ti 0.000 0.000 0.000
Ta 0.000 0.500 0.000
Ta 0.500 0.000 0.000
Ta 0.000 0.000 0.500
Os 0.500 0.500 0.500



# 12
Computed, not measured: a PBEsol-optimized structure of Ta2TlOs at the meta-GGA SCAN level of DFT.

distance to the lowest polymorph of the same formula = 0.00 eV per formula unit
formation energy from the elements = 0.380 eV/atom

Unit cell a=3.988 b=3.988 c=5.194 alpha=112.57 beta=112.57 gamma=90.00
Atoms (fractional coordinates):
Os 0.250 0.750 0.500
Ta 0.750 0.250 0.500
Ta 0.000 0.000 0.000
Tl 0.500 0.500 0.000